[1]
Computed, not measured: Li3HfAu4 after structural relaxation at the PBE-GGA level of DFT.

Cell: 5.6395 5.6395 5.6395 Å, 109.47 109.47 109.47°
Fractional positions:
Au 0.4999 0.0000 0.0000
Au 0.0000 0.4999 0.0000
Au 0.5001 0.5001 0.5001
Hf 0.0000 0.0000 0.0000
Au 0.0000 0.0000 0.4999
Li 0.0000 0.5000 0.5000
Li 0.5000 0.0000 0.5000
Li 0.5000 0.5000 0.0000

The calculation puts the calculated volume at 138.1 Å³ per cell. As for the space group: No. 229. Its density of states at the Fermi level is 4.44 states/eV/f.u. The calculation puts the total DFT energy (no corrections) at -4.0732 eV per atom. The value obtained for the formation energy from the elements is -0.47 eV per atom.

***

[2]
Computed, not measured: HoTl3In3Br8 after structural relaxation at the PBE-GGA level of DFT.

Cell: 9.5085 9.4883 9.5190 Å, 119.74 90.00 120.07°
Fractional positions:
In 0.0000 0.5000 0.5000
Tl 0.0000 0.0000 0.0000
Tl 0.0000 0.5000 0.0000
Br 0.2093 0.4186 0.7072
Br 0.7489 0.4977 0.7470
Br 0.7908 0.0020 0.2924
Br 0.2511 0.5023 0.2530
In 0.5000 0.5000 0.5000
Ho 0.0000 0.0000 0.5000
Tl 0.5000 0.5000 0.0000
Br 0.2112 0.0020 0.2924
In 0.5000 0.0000 0.5000
Br 0.2092 0.9980 0.7076
Br 0.7888 0.9980 0.7076
Br 0.7907 0.5814 0.2928

The calculation puts the calculated volume at 609.0 Å³ per cell. As for the space group: No. 12. The raw formation energy is -13.99 eV/f.u. Its density of states at the Fermi level is 4.87 states/eV/f.u. The calculation puts the total DFT energy (no corrections) at -3.1510 eV per atom.

***

[3]
Computed, not measured: BaSr2AgO after structural relaxation at the PBE-GGA level of DFT.

Cell: 5.0714 5.0714 5.8550 Å, 90.00 90.00 90.00°
Fractional positions:
Sr 0.0000 0.5000 0.0000
Ag 0.5000 0.5000 0.5000
Ba 0.0000 0.0000 0.5000
O 0.0000 0.0000 0.0000
Sr 0.5000 0.0000 0.0000

The calculation puts the calculated volume at 150.6 Å³ per cell. As for the space group: No. 123. The raw formation energy is -5.50 eV/f.u. Its density of states at the Fermi level is 2.02 states/eV/f.u. The calculation puts the total DFT energy (no corrections) at -3.7201 eV per atom.

***

[4]
Computed, not measured: La2YRu after structural relaxation at the PBE-GGA level of DFT.

Cell: 3.5368 3.5341 9.6165 Å, 90.00 90.00 90.00°
Fractional positions:
La 0.0000 0.0000 0.4306
Y 0.5000 0.5000 0.7500
La 0.0000 0.0000 0.0694
Ru 0.5000 0.5000 0.2500

The calculation puts the calculated volume at 120.2 Å³ per cell. As for the space group: No. 123. Its density of states at the Fermi level is 5.79 states/eV/f.u. The relative energy among the computed polymorphs is 213 meV/atom. The calculation puts the total DFT energy (no corrections) at -6.4287 eV per atom. The value obtained for the formation energy from the elements is -0.03 eV per atom.

***

[5]
Computed, not measured: Al2Sb2Au after structural relaxation at the PBE-GGA level of DFT.

Cell: 7.0106 7.0106 4.4511 Å, 90.00 90.00 90.00°
Fractional positions:
Al 0.6330 0.1330 0.0000
Sb 0.8104 0.3104 0.5000
Au 0.0000 0.0000 0.0000
Sb 0.6896 0.8104 0.5000
Sb 0.1896 0.6896 0.5000
Sb 0.3104 0.1896 0.5000
Al 0.8670 0.6330 0.0000
Al 0.1330 0.3670 0.0000
Al 0.3670 0.8670 0.0000
Au 0.5000 0.5000 0.0000

The calculation puts the calculated volume at 218.8 Å³ per cell. As for the space group: No. 127. The raw formation energy is 0.39 eV/f.u. Its density of states at the Fermi level is 2.25 states/eV/f.u. The relative energy among the computed polymorphs is 0 meV/atom. The calculation puts the total DFT energy (no corrections) at -3.7238 eV per atom.

***

[6]
Computed, not measured: Ce2EuEr after structural relaxation at the PBE-GGA level of DFT.

Cell: 5.1939 4.9543 4.9543 Å, 90.00 90.00 90.00°
Fractional positions:
Eu 0.5000 0.5000 0.5000
Ce 0.0000 0.0000 0.5000
Ce 0.0000 0.5000 0.0000
Er 0.5000 0.0000 0.0000

The calculation puts the calculated volume at 127.5 Å³ per cell. As for the space group: No. 123. Its density of states at the Fermi level is 11.43 states/eV/f.u. The relative energy among the computed polymorphs is 14 meV/atom. The calculation puts the total DFT energy (no corrections) at -6.4718 eV per atom. The value obtained for the formation energy from the elements is 0.20 eV per atom.

***

[7]
Computed, not measured: MgAu2Cl after structural relaxation at the PBE-GGA level of DFT.

Cell: 6.3786 6.3786 4.4456 Å, 69.61 69.61 28.21°
Fractional positions:
Mg 0.2500 0.2500 0.2500
Au 0.9656 0.9656 0.0344
Au 0.5344 0.5344 0.4656
Cl 0.7500 0.7500 0.7500

The calculation puts the calculated volume at 79.8 Å³ per cell. As for the space group: No. 71. The raw formation energy is -1.81 eV/f.u. Its density of states at the Fermi level is 1.21 states/eV/f.u. The relative energy among the computed polymorphs is 201 meV/atom. The calculation puts the total DFT energy (no corrections) at -2.9506 eV per atom.

***

[8]
Computed, not measured: Ac2ErPb after structural relaxation at the PBE-GGA level of DFT.

Cell: 5.9081 5.9081 5.9081 Å, 60.00 60.00 60.00°
Fractional positions:
Ac 0.7500 0.7500 0.7500
Pb 0.5000 0.5000 0.5000
Er 0.0000 0.0000 0.0000
Ac 0.2500 0.2500 0.2500

The calculation puts the calculated volume at 145.8 Å³ per cell. As for the space group: No. 225. Its density of states at the Fermi level is 5.69 states/eV/f.u. The relative energy among the computed polymorphs is 147 meV/atom. The calculation puts the total DFT energy (no corrections) at -4.2117 eV per atom. The value obtained for the formation energy from the elements is -0.09 eV per atom.

***

[9]
Computed, not measured: Ca4U3ZnP8 after structural relaxation at the PBE-GGA level of DFT.

Cell: 7.9691 8.0897 7.9672 Å, 119.50 120.01 90.00°
Fractional positions:
P 0.2620 0.2761 0.0191
U 0.0000 0.5000 0.5000
U 0.5000 0.5000 0.5000
P 0.2573 0.2720 0.5146
P 0.2427 0.7237 0.4854
Ca 0.0000 0.0000 0.5000
P 0.7570 0.2761 0.0191
P 0.7380 0.7239 0.9809
Ca 0.0000 0.0000 0.0000
Zn 0.0000 0.5000 0.0000
Ca 0.5000 0.0000 0.5000
P 0.2430 0.7239 0.9809
U 0.5000 0.5000 0.0000
P 0.7573 0.2763 0.5146
P 0.7427 0.7280 0.4854
Ca 0.5000 0.0000 0.0000

The calculation puts the calculated volume at 365.9 Å³ per cell. As for the space group: No. 166. Its density of states at the Fermi level is 17.98 states/eV/f.u. The calculation puts the total DFT energy (no corrections) at -6.2829 eV per atom. The value obtained for the formation energy from the elements is -0.88 eV per atom.

***

[10]
Computed, not measured: Th3InTc after structural relaxation at the PBE-GGA level of DFT.

Cell: 5.9481 7.2193 7.1901 Å, 90.00 90.00 112.16°
Fractional positions:
In 0.4109 0.6597 0.7500
Th 0.0590 0.2847 0.0164
Th 0.0590 0.2847 0.4836
Th 0.4790 0.1527 0.7500
Th 0.5210 0.8473 0.2500
Tc 0.8472 0.9986 0.7500
In 0.5891 0.3403 0.2500
Th 0.9410 0.7153 0.9836
Tc 0.1528 0.0014 0.2500
Th 0.9410 0.7153 0.5164

The calculation puts the calculated volume at 285.9 Å³ per cell. As for the space group: No. 11. Its density of states at the Fermi level is 4.43 states/eV/f.u. The relative energy among the computed polymorphs is 47 meV/atom. The calculation puts the total DFT energy (no corrections) at -7.2128 eV per atom. The value obtained for the formation energy from the elements is -0.14 eV per atom.